1.
# Hg2PtRh

Hg2PtRh after structural relaxation (GGA-PBE, Alexandria).

The formation enthalpy at 0 K comes out at 0.170 eV per atom. As for the total energy: -3.329 eV per atom.

abc: 2.985 2.985 8.282
angles: 90.00 90.00 90.00
Fractional coordinates of all 4 atoms:
Hg (0.000, 0.000, 0.000)
Hg (0.500, 0.500, 0.307)
Pt (0.000, 0.000, 0.553)
Rh (0.500, 0.500, 0.763)



2.
# Pm3ZnSb2

Pm3ZnSb2 after structural relaxation (GGA-PBE, Alexandria).

As for the total energy: -4.725 eV per atom. Its formation energy (no corrections) is -0.7634 eV per atom.

abc: 7.673 7.673 7.673
angles: 146.18 131.84 60.14
Fractional coordinates of all 6 atoms:
Pm (0.000, 0.000, 0.000)
Pm (0.328, 0.328, 0.000)
Pm (0.672, 0.672, 0.000)
Zn (0.500, 0.000, 0.500)
Sb (0.166, 0.666, 0.500)
Sb (0.834, 0.334, 0.500)



3.
# Nb2AlRu

Nb2AlRu after structural relaxation (GGA-PBE, Alexandria).

The formation enthalpy at 0 K comes out at 0.233 eV per atom. As for the total energy: -8.056 eV per atom.

abc: 5.863 5.863 5.863
angles: 101.76 101.76 126.34
Fractional coordinates of all 8 atoms:
Nb (0.088, 0.625, 0.963)
Nb (0.375, 0.338, 0.463)
Nb (0.662, 0.125, 0.037)
Nb (0.875, 0.912, 0.537)
Al (0.250, 0.750, 0.500)
Al (0.500, 0.500, 0.000)
Ru (0.000, 0.000, 0.000)
Ru (0.750, 0.250, 0.500)